Material: KAcSe2
Method: DFT, GGA-PBE
State: relaxed

Properties
calculated total energy	-4.65	eV per atom
total magnetic moment	0.0	Bohr magnetons per cell
formation energy from raw total energies	-1.61	eV/atom

Cell: 3.8984 3.8984 8.1081 Å, 90.00 90.00 90.00°
Sites, in units of the cell vectors:
K 0.0000 0.0000 0.0000
Ac 0.0000 0.0000 0.5000
Se 0.5000 0.5000 0.2806
Se 0.5000 0.5000 0.7194

Material: K2AcSiSe4
Method: DFT, GGA-PBE
State: relaxed

Properties
calculated total energy	-4.25	eV per atom
total magnetic moment	0.0	Bohr magnetons per cell
formation energy from raw total energies	-1.04	eV/atom

Cell: 8.8056 8.8056 8.8056 Å, 122.61 117.41 90.05°
Sites, in units of the cell vectors:
K 0.0000 0.0000 0.0000
K 0.5000 0.0000 0.0000
K 0.5000 0.0000 0.5000
K 0.5000 0.5000 0.5000
Ac 0.0000 0.5000 0.5000
Ac 0.5000 0.5000 0.0000
Si 0.0000 0.0000 0.5000
Si 0.0000 0.5000 0.0000
Se 0.1887 0.7474 0.4413
Se 0.1939 0.2526 0.9413
Se 0.2208 0.2299 0.5090
Se 0.2208 0.7118 0.9910
Se 0.7792 0.2882 0.0090
Se 0.7792 0.7701 0.4910
Se 0.8061 0.7474 0.0587
Se 0.8113 0.2526 0.5587

Material: KAcSiSe4
Method: DFT, GGA-PBE
State: relaxed

Properties
calculated total energy	-4.82	eV per atom
total magnetic moment	0.0	Bohr magnetons per cell
formation energy from raw total energies	-1.31	eV/atom

Cell: 7.0303 7.0303 9.3129 Å, 90.00 106.76 90.00°
Sites, in units of the cell vectors:
K 0.2350 0.2500 0.4363
K 0.7650 0.7500 0.5637
Ac 0.2655 0.2500 0.9475
Ac 0.7345 0.7500 0.0525
Si 0.2893 0.7500 0.1898
Si 0.7107 0.2500 0.8102
Se 0.0919 0.7500 0.3440
Se 0.1169 0.7500 0.9379
Se 0.4992 0.5053 0.7676
Se 0.4992 0.9947 0.7676
Se 0.5008 0.0053 0.2324
Se 0.5008 0.4947 0.2324
Se 0.8831 0.2500 0.0621
Se 0.9081 0.2500 0.6560